HfTaV4 after structural relaxation, computed with GGA-PBEsol.

Computed properties:
Symmetry   No. 216
Total energy   -10.29 eV/atom
D(E_F)   12.098 states/eV/cell
DFT formation energy   -30 meV per atom

POSCAR file:
```
HfTaV4
1.0
5.039 0.000 0.000
2.519 4.364 0.000
2.519 1.455 4.114
V Ta Hf
4 1 1
Cartesian
6.297 2.183 1.543 V
5.039 4.362 1.543 V
3.780 2.183 1.543 V
5.039 2.909 3.598 V
0.000 0.000 0.000 Ta
7.558 4.364 3.086 Hf
```

AlFeTe2 after structural relaxation, computed with GGA-PBEsol.

Computed properties:
Uncorrected formation energy   369 meV/atom
Symmetry   No. 12
Total energy   -4.66 eV/atom
D(E_F)   3.577 states/eV/cell

POSCAR file:
```
AlFeTe2
1.0
-1.074 -3.848 0.581
3.380 0.972 3.487
-3.907 2.693 1.418
Fe Te Al
1 2 1
Cartesian
-0.801 -0.091 2.743 Fe
1.690 0.486 1.744 Te
-1.954 1.346 0.709 Te
-0.537 -1.924 0.291 Al
```